[1]
Computed, not measured: La2Ir after structural relaxation at the GGA-PBEsol level of DFT.

```
12
Lattice="-2.4272 -2.1631 -6.2749 -1.4095 -6.3609 2.7379 -6.4859 2.1919 1.7532" Properties=species:S:1:pos:R:3 pbc="T T T"
Ir 0.0000 0.0000 0.0000
Ir -1.9184 -4.2620 -1.7685
Ir -4.4565 0.0144 -2.2608
Ir -3.9477 -2.0845 2.2456
La -3.3349 -2.0457 -0.5763
La -6.9877 -4.2864 -1.2075
La -6.6376 -1.4221 -3.4934
La -3.6850 -4.9100 1.7097
La -3.9508 -6.3119 -1.6840
La -6.3718 -0.0202 -0.0998
La -6.7219 -2.8846 2.1862
La -3.6007 -3.4475 -3.9699
```

Its mass density is 8.845 g/cm3. The calculation puts the formation energy from the elements at -514 meV/atom. As for the space-group type: Pa-3, No. 205. The total magnetic moment comes out at 0.00 μB/cell.

[2]
Computed, not measured: Rb2TlHgCl6 after structural relaxation at the GGA-PBEsol level of DFT.

```
10
Lattice="-2.6772 1.4232 -6.8967 4.4271 -0.9276 -6.0247 -1.2903 -5.6743 -4.7849" Properties=species:S:1:pos:R:3 pbc="T T T"
Rb 0.3448 -3.8840 -13.2798
Rb 0.1149 -1.2947 -4.4266
Tl 0.0000 0.0000 0.0000
Hg 0.2298 -2.5893 -8.8532
Cl -1.2003 -0.6153 -7.8907
Cl 0.9777 -1.0717 -10.8546
Cl 1.6600 -4.5633 -9.8157
Cl -1.8350 -3.4068 -10.2447
Cl 2.2947 -1.7718 -7.4617
Cl -0.5180 -4.1070 -6.8518
```

Its mass density is 4.331 g/cm3. For the uncorrected formation energy, the calculation gives -1.19 eV/atom. As for the space-group type: Fm-3m, No. 225. The total magnetic moment comes out at 0.00 μB/cell.

[3]
Computed, not measured: BaMn2CdW after structural relaxation at the GGA-PBEsol level of DFT.

```
5
Lattice="4.7602 0.0000 0.0000 0.0000 4.7602 0.0000 0.0000 0.0000 5.8386" Properties=species:S:1:pos:R:3 pbc="T T T"
Mn 0.0000 2.3801 0.0000
Mn 2.3801 0.0000 0.0000
Ba 0.0000 0.0000 2.9193
W 0.0000 0.0000 0.0000
Cd 2.3801 2.3801 2.9193
```

Its mass density is 6.821 g/cm3. The calculation puts the formation energy from the elements at 1368 meV/atom. As for the space-group type: P4/mmm, No. 123. The total magnetic moment comes out at 6.33 μB/cell.

[4]
Computed, not measured: Ba2SrCa after structural relaxation at the GGA-PBEsol level of DFT.

```
4
Lattice="6.6258 0.0000 0.0000 3.3129 5.7381 0.0000 3.3129 1.9127 5.4100" Properties=species:S:1:pos:R:3 pbc="T T T"
Sr 3.3129 1.9127 1.3525
Ca 6.6258 3.8254 2.7050
Ba 0.0000 0.0000 0.0000
Ba 9.9387 5.7381 4.0575
```

Its mass density is 3.248 g/cm3. The calculation puts the formation energy from the elements at 19 meV/atom. As for the space-group type: F-43m, No. 216. The total magnetic moment comes out at 0.00 μB/cell. The energy above the lowest structure with this stoichiometry comes out at 3 meV per atom.

[5]
Computed, not measured: ZrZn2Te2 after structural relaxation at the GGA-PBEsol level of DFT.

```
5
Lattice="-3.4571 0.4220 0.6520 -0.7735 -1.6036 -3.0635 1.9355 -7.4780 5.4748" Properties=species:S:1:pos:R:3 pbc="T T T"
Zn -0.4766 -4.8362 0.6028
Zn -1.8184 -3.8234 2.4605
Te -0.1465 -6.5743 3.4784
Te -2.1486 -2.0853 -0.4151
Zr 0.0000 0.0000 0.0000
```

Its mass density is 6.914 g/cm3. For the uncorrected formation energy, the calculation gives -0.28 eV/atom. As for the space-group type: I4/mmm, No. 139. The total magnetic moment comes out at 0.00 μB/cell.

[6]
Computed, not measured: GePtO2F after structural relaxation at the GGA-PBEsol level of DFT.

```
5
Lattice="3.9738 0.0000 0.0000 0.0000 3.9738 0.0000 0.0000 0.0000 4.1397" Properties=species:S:1:pos:R:3 pbc="T T T"
Ge 1.9869 1.9869 2.0698
O 0.0000 1.9869 0.0000
O 1.9869 0.0000 0.0000
Pt 0.0000 0.0000 0.0000
F 0.0000 0.0000 2.0698
```

Its mass density is 8.096 g/cm3. For the uncorrected formation energy, the calculation gives -0.29 eV/atom. As for the space-group type: P4/mmm, No. 123. The total magnetic moment comes out at 0.00 μB/cell.